Sr6Mn7 (PBE-GGA, relaxed); magnetization = 2.13 μB per atom; SG = R-3m (166); density of states at the Fermi level = 14.047 states/eV per cell
1.0
-8.515 -0.868 7.506
-4.344 -5.565 8.931
-3.212 0.458 10.912
Mn Sr
7 6
direct
0.844 0.438 0.438
0.156 0.562 0.562
0.438 0.438 0.844
0.562 0.562 0.156
0.562 0.156 0.562
0.438 0.844 0.438
0.500 0.500 0.500
0.673 0.673 0.673
0.835 0.835 0.835
0.941 0.941 0.941
0.327 0.327 0.327
0.059 0.059 0.059
0.165 0.165 0.165


SrMn3 (PBE-GGA, relaxed); magnetization = 2.65 μB per atom; SG = Pm-3m (221); density of states at the Fermi level = 4.445 states/eV per cell
1.0
4.281 0.000 0.000
0.000 4.281 0.000
0.000 0.000 4.281
Mn Sr
3 1
direct
0.500 0.500 0.000
0.000 0.500 0.500
0.500 0.000 0.500
0.000 0.000 0.000


Sr2Mn (PBE-GGA, relaxed); magnetization = 1.07 μB per atom; SG = Pa-3 (205); density of states at the Fermi level = 9.580 states/eV per cell
1.0
-7.745 -0.893 1.019
1.295 -6.619 4.042
0.399 4.149 6.667
Sr Mn
8 4
direct
0.654 0.846 0.846
0.346 0.346 0.654
0.154 0.654 0.154
0.846 0.346 0.846
0.154 0.846 0.654
0.846 0.154 0.346
0.346 0.154 0.154
0.654 0.654 0.346
0.000 0.500 0.500
0.500 0.000 0.500
0.000 0.000 0.000
0.500 0.500 0.000


Sr2Mn (PBE-GGA, relaxed); magnetization = 1.16 μB per atom; SG = P-3m1 (164); density of states at the Fermi level = 2.535 states/eV per cell
1.0
4.144 0.000 0.000
-2.072 3.589 0.000
0.000 0.000 8.087
Sr Mn
2 1
direct
0.333 0.667 0.270
0.667 0.333 0.730
0.000 0.000 0.000


| no. | formation energy from the elements (eV per atom) |
| --- | --- |
| 1 | 0.60 |
| 2 | 0.87 |
| 3 | 0.56 |
| 4 | 0.55 |